[1]
Here is a relaxed GdDy3Mn crystal from Alexandria via LeMat-Bulk. Energies are from PBE-GGA.

Cell: 5.2956 5.2956 5.2956 Å, 90.00 90.00 90.00°
Space group Pm-3m (No. 221)
Inequivalent atoms, fractional coordinates:
Gd1 0.0000 0.0000 0.0000 (multiplicity 1)
Dy1 0.0000 0.5000 0.5000 (multiplicity 3)
Mn1 0.5000 0.5000 0.5000 (multiplicity 1)

formation energy from the elements	230	meV per atom
mass density	7.8	g cm⁻³
crystal system	cubic

---

[2]
Here is a relaxed Nd5Er2Sc4 crystal from Alexandria via LeMat-Bulk. Energies are from PBE-GGA.

Cell: 3.4479 8.8017 22.8822 Å, 90.00 90.00 90.00°
Space group Immm (No. 71)
Inequivalent atoms, fractional coordinates:
Nd1 0.0000 0.0000 0.0000 (multiplicity 2)
Nd2 0.0000 0.2967 0.3578 (multiplicity 8)
Er1 0.0000 0.5000 0.2293 (multiplicity 4)
Sc1 0.0000 0.1750 0.5000 (multiplicity 4)
Sc2 0.0000 0.5000 0.0933 (multiplicity 4)

formation energy from the elements	158	meV per atom
mass density	5.9	g cm⁻³
crystal system	orthorhombic

---

[3]
Here is a relaxed K12Au crystal from Alexandria via LeMat-Bulk. Energies are from PBE-GGA.

Cell: 11.7276 11.7276 11.7276 Å, 90.00 90.00 90.00°
Space group Im-3 (No. 204)
Inequivalent atoms, fractional coordinates:
K1 0.0000 0.1726 0.3005 (multiplicity 24)
Au1 0.0000 0.0000 0.0000 (multiplicity 2)

formation energy from the elements	6	meV per atom
mass density	1.4	g cm⁻³
crystal system	cubic

---

[4]
Here is a relaxed BaInC2Se crystal from Alexandria via LeMat-Bulk. Energies are from PBE-GGA.

Cell: 5.0412 5.0412 6.4735 Å, 90.00 90.00 90.00°
Space group P4/mmm (No. 123)
Inequivalent atoms, fractional coordinates:
Ba1 0.0000 0.0000 0.0000 (multiplicity 1)
In1 0.5000 0.5000 0.5000 (multiplicity 1)
C1 0.0000 0.5000 0.0000 (multiplicity 2)
Se1 0.0000 0.0000 0.5000 (multiplicity 1)

uncorrected formation energy	2.13	eV/atom
mass density	3.6	g cm⁻³
crystal system	tetragonal

---

[5]
Here is a relaxed NaCaMg3 crystal from Alexandria via LeMat-Bulk. Energies are from PBE-GGA.

Cell: 5.4075 5.4075 5.4075 Å, 90.00 90.00 90.00°
Space group Pm-3m (No. 221)
Inequivalent atoms, fractional coordinates:
Na1 0.0000 0.0000 0.0000 (multiplicity 1)
Ca1 0.5000 0.5000 0.5000 (multiplicity 1)
Mg1 0.0000 0.0000 0.5000 (multiplicity 3)

formation energy from the elements	417	meV per atom
mass density	1.4	g cm⁻³
energy relative to the lowest polymorph listed for this composition	0.00	eV/f.u.
crystal system	cubic

---

[6]
Here is a relaxed SrZnBr2 crystal from Alexandria via LeMat-Bulk. Energies are from PBE-GGA.

Cell: 3.8645 3.8646 9.8981 Å, 90.00 90.11 90.00°
Space group P2/m (No. 10)
Inequivalent atoms, fractional coordinates:
Sr1 0.0000 0.0000 0.0000 (multiplicity 1)
Zn1 0.0000 0.0000 0.5000 (multiplicity 1)
Br1 0.4986 0.5000 0.8252 (multiplicity 2)

uncorrected formation energy	-1.21	eV/atom
mass density	3.5	g cm⁻³
energy relative to the lowest polymorph listed for this composition	0.44	eV/f.u.
crystal system	monoclinic

---

[7]
Here is a relaxed HfScU2As4 crystal from Alexandria via LeMat-Bulk. Energies are from PBE-GGA.

Cell: 6.8159 3.9358 6.9520 Å, 90.00 109.06 90.00°
Space group P2/m (No. 10)
Inequivalent atoms, fractional coordinates:
Hf1 0.0000 0.0000 0.0000 (multiplicity 1)
Sc1 0.5000 0.5000 0.0000 (multiplicity 1)
U1 0.0000 0.5000 0.5000 (multiplicity 1)
U2 0.5000 0.0000 0.5000 (multiplicity 1)
As1 0.2438 0.5000 0.2331 (multiplicity 2)
As2 0.2547 0.0000 0.7666 (multiplicity 2)

formation energy from the elements	-986	meV per atom
mass density	9.4	g cm⁻³
crystal system	monoclinic

---

[8]
Here is a relaxed U2FeSi3Ir4 crystal from Alexandria via LeMat-Bulk. Energies are from PBE-GGA.

Cell: 4.0410 4.0410 10.1485 Å, 90.00 90.00 90.00°
Space group P-4m2 (No. 115)
Inequivalent atoms, fractional coordinates:
U1 0.0000 0.5000 0.2460 (multiplicity 2)
Fe1 0.5000 0.5000 0.0000 (multiplicity 1)
Si1 0.0000 0.0000 0.0000 (multiplicity 1)
Si2 0.0000 0.5000 0.6308 (multiplicity 2)
Ir1 0.0000 0.0000 0.5000 (multiplicity 1)
Ir2 0.0000 0.5000 0.8628 (multiplicity 2)
Ir3 0.5000 0.5000 0.5000 (multiplicity 1)

uncorrected formation energy	-0.67	eV/atom
mass density	13.9	g cm⁻³
crystal system	tetragonal

---

> Look up the mass density of the sixth one.

3.5 g cm⁻³

---

> mass density of number 8 (U2FeSi3Ir4)?

13.9 g cm⁻³